[1]
This record from Alexandria describes a relaxed structure of BaAlCo3. The functional is PBEsol.

Formation energy from the elements: 11.16 eV per formula unit
Total energy: -18.29 eV per cell

Geometry as CIF:
```
data_BaAlCo3
_chemical_formula_sum 'Ba1 Al1 Co3'
_cell_length_a 4.711
_cell_length_b 4.711
_cell_length_c 4.711
_cell_angle_alpha 90.00
_cell_angle_beta 90.00
_cell_angle_gamma 90.00
_symmetry_space_group_name_H-M 'P 1'
_symmetry_Int_Tables_number 1
_symmetry_space_group_name_Hall 'P 1'
loop_
_atom_site_label
_atom_site_fract_x
_atom_site_fract_y
_atom_site_fract_z
Co1 0.000 0.500 0.000
Co2 0.000 0.000 0.500
Co3 0.500 0.000 0.000
Ba1 0.000 0.000 0.000
Al1 0.500 0.500 0.500
```

[2]
This record from Alexandria describes a relaxed structure of Na2YCo2. The functional is PBEsol.

Formation energy from the elements: 2.33 eV per formula unit
Total energy: -22.76 eV per cell

Geometry as CIF:
```
data_Na2YCo2
_chemical_formula_sum 'Na2 Y1 Co2'
_cell_length_a 3.906
_cell_length_b 3.906
_cell_length_c 7.214
_cell_angle_alpha 105.71
_cell_angle_beta 105.71
_cell_angle_gamma 90.00
_symmetry_space_group_name_H-M 'P 1'
_symmetry_Int_Tables_number 1
_symmetry_space_group_name_Hall 'P 1'
loop_
_atom_site_label
_atom_site_fract_x
_atom_site_fract_y
_atom_site_fract_z
Y1 0.000 0.000 0.000
Na1 0.250 0.750 0.500
Na2 0.750 0.250 0.500
Co1 0.422 0.422 0.844
Co2 0.578 0.578 0.156
```

[3]
This record from Alexandria describes a relaxed structure of La8Al. The functional is PBEsol.

Formation energy from the elements: -0.25 eV per formula unit
Total energy: -47.11 eV per cell

Geometry as CIF:
```
data_La8Al
_chemical_formula_sum 'La8 Al1'
_cell_length_a 5.074
_cell_length_b 8.180
_cell_length_c 8.180
_cell_angle_alpha 84.48
_cell_angle_beta 71.93
_cell_angle_gamma 71.93
_symmetry_space_group_name_H-M 'P 1'
_symmetry_Int_Tables_number 1
_symmetry_space_group_name_Hall 'P 1'
loop_
_atom_site_label
_atom_site_fract_x
_atom_site_fract_y
_atom_site_fract_z
Al1 0.000 0.000 0.000
La1 0.341 0.000 0.318
La2 0.659 0.000 0.682
La3 0.680 0.320 0.320
La4 0.341 0.318 0.000
La5 0.000 0.320 0.680
La6 0.659 0.682 0.000
La7 0.320 0.680 0.680
La8 0.000 0.680 0.320
```

[4]
This record from Alexandria describes a relaxed structure of ZrNi2Se. The functional is PBEsol.

Formation energy without anion corrections: -1.957 eV per formula unit
Total energy: -27.21 eV per cell

Geometry as CIF:
```
data_ZrNi2Se
_chemical_formula_sum 'Zr1 Ni2 Se1'
_cell_length_a 3.772
_cell_length_b 4.269
_cell_length_c 4.547
_cell_angle_alpha 113.21
_cell_angle_beta 90.00
_cell_angle_gamma 116.21
_symmetry_space_group_name_H-M 'P 1'
_symmetry_Int_Tables_number 1
_symmetry_space_group_name_Hall 'P 1'
loop_
_atom_site_label
_atom_site_fract_x
_atom_site_fract_y
_atom_site_fract_z
Ni1 0.997 0.994 0.966
Ni2 0.203 0.407 0.632
Se1 0.520 0.040 0.645
Zr1 0.780 0.559 0.257
```

[5]
This record from Alexandria describes a relaxed structure of K3SiNi. The functional is PBEsol.

Formation energy without anion corrections: 4.741 eV per formula unit
Total energy: -10.56 eV per cell

Geometry as CIF:
```
data_K3SiNi
_chemical_formula_sum 'K3 Si1 Ni1'
_cell_length_a 5.841
_cell_length_b 5.841
_cell_length_c 5.841
_cell_angle_alpha 90.00
_cell_angle_beta 90.00
_cell_angle_gamma 90.00
_symmetry_space_group_name_H-M 'P 1'
_symmetry_Int_Tables_number 1
_symmetry_space_group_name_Hall 'P 1'
loop_
_atom_site_label
_atom_site_fract_x
_atom_site_fract_y
_atom_site_fract_z
Ni1 0.000 0.000 0.000
K1 0.000 0.500 0.000
K2 0.000 0.000 0.500
K3 0.500 0.000 0.000
Si1 0.500 0.500 0.500
```

[6]
This record from Alexandria describes a relaxed structure of Na5SrNbP4. The functional is PBEsol.

Formation energy from the elements: -6.33 eV per formula unit
Total energy: -98.31 eV per cell

Geometry as CIF:
```
data_Na5SrNbP4
_chemical_formula_sum 'Na10 Sr2 Nb2 P8'
_cell_length_a 7.299
_cell_length_b 9.253
_cell_length_c 9.245
_cell_angle_alpha 120.03
_cell_angle_beta 90.19
_cell_angle_gamma 89.62
_symmetry_space_group_name_H-M 'P 1'
_symmetry_Int_Tables_number 1
_symmetry_space_group_name_Hall 'P 1'
loop_
_atom_site_label
_atom_site_fract_x
_atom_site_fract_y
_atom_site_fract_z
Na1 0.385 0.539 0.066
Na2 0.386 0.936 0.464
Na3 0.885 0.473 0.934
Na4 0.886 0.471 0.536
Na5 0.221 0.133 0.277
Na6 0.200 0.711 0.863
Na7 0.230 0.147 0.859
Na8 0.721 0.856 0.723
Na9 0.730 0.288 0.141
Na10 0.700 0.848 0.137
Sr1 0.392 0.532 0.471
Sr2 0.892 0.061 0.529
Nb1 0.498 0.332 0.670
Nb2 0.998 0.662 0.330
P1 0.104 0.810 0.615
P2 0.110 0.383 0.193
P3 0.093 0.811 0.194
P4 0.604 0.194 0.385
P5 0.593 0.617 0.806
P6 0.610 0.191 0.807
P7 0.171 0.333 0.662
P8 0.671 0.671 0.338
```

[7]
This record from Alexandria describes a relaxed structure of TlCdPb2. The functional is PBEsol.

Formation energy from the elements: 0.24 eV per formula unit
Relative energy among the computed polymorphs: 0.033 eV per atom
Total energy: -11.59 eV per cell

Geometry as CIF:
```
data_TlCdPb2
_chemical_formula_sum 'Tl1 Cd1 Pb2'
_cell_length_a 3.333
_cell_length_b 3.333
_cell_length_c 10.596
_cell_angle_alpha 90.00
_cell_angle_beta 90.00
_cell_angle_gamma 111.21
_symmetry_space_group_name_H-M 'P 1'
_symmetry_Int_Tables_number 1
_symmetry_space_group_name_Hall 'P 1'
loop_
_atom_site_label
_atom_site_fract_x
_atom_site_fract_y
_atom_site_fract_z
Pb1 0.000 0.000 0.014
Pb2 0.500 0.500 0.749
Tl1 0.000 0.000 0.484
Cd1 0.500 0.500 0.253
```

[8]
This record from Alexandria describes a relaxed structure of ScTc2. The functional is PBEsol.

Formation energy from the elements: -0.73 eV per formula unit
Relative energy among the computed polymorphs: 0.033 eV per atom
Total energy: -59.74 eV per cell

Geometry as CIF:
```
data_ScTc2
_chemical_formula_sum 'Sc2 Tc4'
_cell_length_a 5.181
_cell_length_b 5.181
_cell_length_c 5.181
_cell_angle_alpha 60.00
_cell_angle_beta 60.00
_cell_angle_gamma 60.00
_symmetry_space_group_name_H-M 'P 1'
_symmetry_Int_Tables_number 1
_symmetry_space_group_name_Hall 'P 1'
loop_
_atom_site_label
_atom_site_fract_x
_atom_site_fract_y
_atom_site_fract_z
Sc1 0.000 0.000 0.000
Sc2 0.250 0.250 0.250
Tc1 0.125 0.625 0.625
Tc2 0.625 0.625 0.625
Tc3 0.625 0.625 0.125
Tc4 0.625 0.125 0.625
```

[9]
This record from Alexandria describes a relaxed structure of BaDyCo4O7. The functional is PBEsol.

Formation energy without anion corrections: -20.808 eV per formula unit
Total energy: -191.26 eV per cell

Geometry as CIF:
```
data_BaDyCo4O7
_chemical_formula_sum 'Ba2 Dy2 Co8 O14'
_cell_length_a 6.220
_cell_length_b 6.220
_cell_length_c 10.111
_cell_angle_alpha 90.00
_cell_angle_beta 90.00
_cell_angle_gamma 120.00
_symmetry_space_group_name_H-M 'P 1'
_symmetry_Int_Tables_number 1
_symmetry_space_group_name_Hall 'P 1'
loop_
_atom_site_label
_atom_site_fract_x
_atom_site_fract_y
_atom_site_fract_z
Ba1 0.333 0.667 0.520
Ba2 0.667 0.333 0.020
Dy1 0.333 0.667 0.138
Dy2 0.667 0.333 0.638
Co1 0.841 0.159 0.316
Co2 0.159 0.319 0.816
Co3 0.681 0.841 0.816
Co4 0.319 0.159 0.316
Co5 0.841 0.681 0.316
Co6 0.159 0.841 0.816
Co7 0.000 0.000 0.519
Co8 0.000 0.000 0.019
O1 0.829 0.171 0.502
O2 0.171 0.341 0.002
O3 0.659 0.829 0.002
O4 0.341 0.171 0.502
O5 0.829 0.659 0.502
O6 0.171 0.829 0.002
O7 0.000 0.000 0.727
O8 0.000 0.000 0.227
O9 0.508 0.492 0.255
O10 0.492 0.985 0.755
O11 0.015 0.508 0.755
O12 0.985 0.492 0.255
O13 0.492 0.508 0.755
O14 0.508 0.015 0.255
```

[10]
This record from Alexandria describes a relaxed structure of K2Hg3S4. The functional is PBEsol.

Formation energy without anion corrections: -5.142 eV per formula unit
Total energy: -106.58 eV per cell

Geometry as CIF:
```
data_K2Hg3S4
_chemical_formula_sum 'K8 Hg12 S16'
_cell_length_a 6.643
_cell_length_b 10.390
_cell_length_c 13.451
_cell_angle_alpha 90.00
_cell_angle_beta 90.00
_cell_angle_gamma 90.00
_symmetry_space_group_name_H-M 'P 1'
_symmetry_Int_Tables_number 1
_symmetry_space_group_name_Hall 'P 1'
loop_
_atom_site_label
_atom_site_fract_x
_atom_site_fract_y
_atom_site_fract_z
K1 0.236 0.618 0.497
K2 0.764 0.382 0.503
K3 0.264 0.882 0.997
K4 0.236 0.382 0.003
K5 0.736 0.118 0.003
K6 0.764 0.618 0.997
K7 0.264 0.118 0.503
K8 0.736 0.882 0.497
Hg1 0.094 0.000 0.250
Hg2 0.906 0.000 0.750
Hg3 0.406 0.500 0.750
Hg4 0.594 0.500 0.250
Hg5 0.094 0.660 0.240
Hg6 0.906 0.340 0.760
Hg7 0.406 0.840 0.740
Hg8 0.094 0.340 0.260
Hg9 0.594 0.160 0.260
Hg10 0.906 0.660 0.740
Hg11 0.406 0.160 0.760
Hg12 0.594 0.840 0.240
S1 0.335 0.866 0.361
S2 0.665 0.134 0.639
S3 0.165 0.634 0.861
S4 0.335 0.134 0.139
S5 0.835 0.366 0.139
S6 0.665 0.866 0.861
S7 0.165 0.366 0.639
S8 0.835 0.634 0.361
S9 0.373 0.632 0.131
S10 0.627 0.368 0.869
S11 0.127 0.868 0.631
S12 0.373 0.368 0.369
S13 0.873 0.132 0.369
S14 0.627 0.632 0.631
S15 0.127 0.132 0.869
S16 0.873 0.868 0.131
```

[11]
This record from Alexandria describes a relaxed structure of TlIn3. The functional is PBEsol.

Formation energy from the elements: 0.06 eV per formula unit
Total energy: -11.52 eV per cell

Geometry as CIF:
```
data_TlIn3
_chemical_formula_sum 'Tl1 In3'
_cell_length_a 4.818
_cell_length_b 4.818
_cell_length_c 5.624
_cell_angle_alpha 115.36
_cell_angle_beta 115.36
_cell_angle_gamma 90.00
_symmetry_space_group_name_H-M 'P 1'
_symmetry_Int_Tables_number 1
_symmetry_space_group_name_Hall 'P 1'
loop_
_atom_site_label
_atom_site_fract_x
_atom_site_fract_y
_atom_site_fract_z
Tl1 0.000 0.000 0.000
In1 0.750 0.250 0.500
In2 0.500 0.500 0.000
In3 0.250 0.750 0.500
```

[12]
This record from Alexandria describes a relaxed structure of ZrSc2Co. The functional is PBEsol.

Formation energy from the elements: -0.49 eV per formula unit
Relative energy among the computed polymorphs: 0.050 eV per atom
Total energy: -30.52 eV per cell

Geometry as CIF:
```
data_ZrSc2Co
_chemical_formula_sum 'Zr1 Sc2 Co1'
_cell_length_a 3.182
_cell_length_b 3.182
_cell_length_c 7.516
_cell_angle_alpha 90.00
_cell_angle_beta 90.00
_cell_angle_gamma 90.00
_symmetry_space_group_name_H-M 'P 1'
_symmetry_Int_Tables_number 1
_symmetry_space_group_name_Hall 'P 1'
loop_
_atom_site_label
_atom_site_fract_x
_atom_site_fract_y
_atom_site_fract_z
Co1 0.500 0.500 0.748
Sc1 0.000 0.000 0.941
Sc2 0.500 0.500 0.265
Zr1 0.000 0.000 0.546
```

| no. | spin magnetization (μB per formula unit) |
| --- | --- |
| 1 | 2.72 |
| 2 | 2.57 |
| 3 | 0.00 |
| 4 | 0.00 |
| 5 | 3.01 |
| 6 | 0.00 |
| 7 | 0.00 |
| 8 | 0.00 |
| 9 | 13.07 |
| 10 | 0.00 |
| 11 | 0.00 |
| 12 | 0.08 |